Computed, not measured: crystalline ZrReW2F at its relaxed geometry at the PBE+U level of DFT.

Geometry as CIF:
```
data_ZrReW2F
_cell_length_a 5.0874
_cell_length_b 5.0874
_cell_length_c 5.0799
_cell_angle_alpha 90.00
_cell_angle_beta 90.00
_cell_angle_gamma 90.00
_space_group_name_H-M_alt 'P 4/m m m'
_space_group_IT_number 123
_space_group_name_Hall '-P 4 2'
loop_
_atom_site_label
_atom_site_fract_x
_atom_site_fract_y
_atom_site_fract_z
Zr1 0.0000 0.0000 0.0000
Re1 0.0000 0.0000 0.5000
W1 0.0000 0.5000 0.5000
F1 0.5000 0.5000 0.0000
```

DOS at the Fermi energy   0.689 states/eV per atom
Total energy   -6.2483 eV per atom
V   26.3 Å³ per atom